Entry 1:
Below is a relaxed NpAlCu2O6 crystal, with properties calculated at the GGA-PBE level.

Calculated values
* V: 330.63 Å³ per cell
* formation energy from raw total energies: -1937 meV/atom
* total DFT energy (no corrections): -7.40 eV/atom
* theoretical density: 7.3 Mg/m³

Structure (CIF):
```
data_NpAlCu2O6
_symmetry_space_group_name_H-M 'R 3'
_symmetry_Int_Tables_number 146
_symmetry_space_group_name_Hall 'R 3'
_cell_length_a 5.1840
_cell_length_b 5.1840
_cell_length_c 14.2057
_cell_angle_alpha 90.00
_cell_angle_beta 90.00
_cell_angle_gamma 120.00
loop_
_atom_site_label
_atom_site_type_symbol
_atom_site_fract_x
_atom_site_fract_y
_atom_site_fract_z
Np1 Np 0.0000 0.0000 0.0000
Al1 Al 0.0000 0.0000 0.5000
Cu1 Cu 0.0000 0.0000 0.2480
Cu2 Cu 0.0000 0.0000 0.7553
O1 O 0.0128 0.3822 0.2455
O2 O 0.0491 0.7023 0.0875
```

Entry 2:
Below is a relaxed ScCoOs2 crystal, with properties calculated at the GGA-PBE level.

Calculated values
* V: 234.63 Å³ per cell
* total DFT energy (no corrections): -8.75 eV/atom
* formation energy from the elements: 87 kJ/mol of formula units
* theoretical density: 13.7 Mg/m³
* offset from the most stable computed form: 0.272 eV/atom

Structure (CIF):
```
data_ScCoOs2
_symmetry_space_group_name_H-M 'F m -3 m'
_symmetry_Int_Tables_number 225
_symmetry_space_group_name_Hall '-F 4 2 3'
_cell_length_a 6.1678
_cell_length_b 6.1678
_cell_length_c 6.1678
_cell_angle_alpha 90.00
_cell_angle_beta 90.00
_cell_angle_gamma 90.00
loop_
_atom_site_label
_atom_site_type_symbol
_atom_site_fract_x
_atom_site_fract_y
_atom_site_fract_z
Sc1 Sc 0.0000 0.0000 0.0000
Co1 Co 0.0000 0.0000 0.5000
Os1 Os 0.2500 0.2500 0.2500
```

Entry 3:
Below is a relaxed K4Zn5 crystal, with properties calculated at the GGA-PBE level.

Calculated values
* V: 717.16 Å³ per cell
* total DFT energy (no corrections): -1.01 eV/atom
* formation energy from the elements: 161 kJ/mol of formula units
* theoretical density: 2.2 Mg/m³

Structure (CIF):
```
data_K4Zn5
_symmetry_space_group_name_H-M 'I 4/m m m'
_symmetry_Int_Tables_number 139
_symmetry_space_group_name_Hall '-I 4 2'
_cell_length_a 13.0579
_cell_length_b 13.0579
_cell_length_c 4.2060
_cell_angle_alpha 90.00
_cell_angle_beta 90.00
_cell_angle_gamma 90.00
loop_
_atom_site_label
_atom_site_type_symbol
_atom_site_fract_x
_atom_site_fract_y
_atom_site_fract_z
K1 K 0.0000 0.2670 0.0000
Zn1 Zn 0.0000 0.0000 0.0000
Zn2 Zn 0.2115 0.2115 0.5000
```

Entry 4:
Below is a relaxed PmNdGdTm crystal, with properties calculated at the GGA-PBE level.

Calculated values
* V: 533.79 Å³ per cell
* total DFT energy (no corrections): -6.90 eV/atom
* formation energy from the elements: 47 kJ/mol of formula units
* theoretical density: 7.7 Mg/m³

Structure (CIF):
```
data_PmNdGdTm
_symmetry_space_group_name_H-M 'F -4 3 m'
_symmetry_Int_Tables_number 216
_symmetry_space_group_name_Hall 'F -4 2 3'
_cell_length_a 8.1119
_cell_length_b 8.1119
_cell_length_c 8.1119
_cell_angle_alpha 90.00
_cell_angle_beta 90.00
_cell_angle_gamma 90.00
loop_
_atom_site_label
_atom_site_type_symbol
_atom_site_fract_x
_atom_site_fract_y
_atom_site_fract_z
Pm1 Pm 0.0000 0.0000 0.0000
Nd1 Nd 0.2500 0.2500 0.7500
Gd1 Gd 0.2500 0.2500 0.2500
Tm1 Tm 0.0000 0.0000 0.5000
```

Entry 5:
Below is a relaxed ErSiN2 crystal, with properties calculated at the GGA-PBE level.

Calculated values
* V: 185.72 Å³ per cell
* formation energy from raw total energies: -829 meV/atom
* total DFT energy (no corrections): -7.49 eV/atom
* theoretical density: 6.0 Mg/m³

Structure (CIF):
```
data_ErSiN2
_symmetry_space_group_name_H-M 'R -3 m'
_symmetry_Int_Tables_number 166
_symmetry_space_group_name_Hall '-R 3 2"'
_cell_length_a 3.5637
_cell_length_b 3.5637
_cell_length_c 16.8863
_cell_angle_alpha 90.00
_cell_angle_beta 90.00
_cell_angle_gamma 120.00
loop_
_atom_site_label
_atom_site_type_symbol
_atom_site_fract_x
_atom_site_fract_y
_atom_site_fract_z
Er1 Er 0.0000 0.0000 0.0000
Si1 Si 0.0000 0.0000 0.5000
N1 N 0.0000 0.0000 0.4020
```

Entry 6:
Below is a relaxed HRhS2 crystal, with properties calculated at the GGA-PBE level.

Calculated values
* V: 216.29 Å³ per cell
* total DFT energy (no corrections): -4.52 eV/atom
* theoretical density: 5.2 Mg/m³
* offset from the most stable computed form: 0.566 eV/atom

Structure (CIF):
```
data_HRhS2
_symmetry_space_group_name_H-M 'C m c m'
_symmetry_Int_Tables_number 63
_symmetry_space_group_name_Hall '-C 2c 2'
_cell_length_a 3.0065
_cell_length_b 15.2402
_cell_length_c 4.7206
_cell_angle_alpha 90.00
_cell_angle_beta 90.00
_cell_angle_gamma 90.00
loop_
_atom_site_label
_atom_site_type_symbol
_atom_site_fract_x
_atom_site_fract_y
_atom_site_fract_z
H1 H 0.0000 0.1267 0.2500
Rh1 Rh 0.0000 0.4395 0.2500
S1 S 0.0000 0.2882 0.2500
S2 S 0.0000 0.4077 0.7500
```

Entry 7:
Below is a relaxed TlIn5 crystal, with properties calculated at the GGA-PBE level.

Calculated values
* V: 336.06 Å³ per cell
* total DFT energy (no corrections): -2.64 eV/atom
* formation energy from the elements: 22 kJ/mol of formula units
* theoretical density: 7.7 Mg/m³
* offset from the most stable computed form: 0.023 eV/atom

Structure (CIF):
```
data_TlIn5
_symmetry_space_group_name_H-M 'A m m 2'
_symmetry_Int_Tables_number 38
_cell_length_a 5.7835
_cell_length_b 3.5272
_cell_length_c 16.4738
_cell_angle_alpha 90.00
_cell_angle_beta 90.00
_cell_angle_gamma 90.00
loop_
_symmetry_equiv_pos_as_xyz
'x,y,z'
'-x,-y,z'
'-x,y,z'
'x,-y,z'
'x,y+1/2,z+1/2'
'-x,-y+1/2,z+1/2'
'-x,y+1/2,z+1/2'
'x,-y+1/2,z+1/2'
loop_
_atom_site_label
_atom_site_type_symbol
_atom_site_fract_x
_atom_site_fract_y
_atom_site_fract_z
Tl1 Tl 0.0000 0.0000 0.0000
In1 In 0.0000 0.0000 0.3311
In2 In 0.0000 0.0000 0.6696
In3 In 0.5000 0.0000 0.1292
In4 In 0.5000 0.0000 0.4601
In5 In 0.5000 0.0000 0.7951
```

Entry 8:
Below is a relaxed MnCdTcH crystal, with properties calculated at the GGA-PBE level.

Calculated values
* V: 158.91 Å³ per cell
* total DFT energy (no corrections): -5.71 eV/atom
* theoretical density: 8.4 Mg/m³
* offset from the most stable computed form: 0.062 eV/atom

Structure (CIF):
```
data_MnCdTcH
_symmetry_space_group_name_H-M 'R 3 m'
_symmetry_Int_Tables_number 160
_symmetry_space_group_name_Hall 'R 3 -2"'
_cell_length_a 2.9184
_cell_length_b 2.9184
_cell_length_c 21.5435
_cell_angle_alpha 90.00
_cell_angle_beta 90.00
_cell_angle_gamma 120.00
loop_
_atom_site_label
_atom_site_type_symbol
_atom_site_fract_x
_atom_site_fract_y
_atom_site_fract_z
Mn1 Mn 0.0000 0.0000 0.0000
Cd1 Cd 0.0000 0.0000 0.7767
Tc1 Tc 0.0000 0.0000 0.5785
H1 H 0.0000 0.0000 0.8755
```

Entry 9:
Below is a relaxed V3GePt crystal, with properties calculated at the GGA-PBE level.

Calculated values
* V: 86.82 Å³ per cell
* total DFT energy (no corrections): -6.77 eV/atom
* formation energy from the elements: 403 kJ/mol of formula units
* theoretical density: 8.0 Mg/m³
* offset from the most stable computed form: 0.952 eV/atom

Structure (CIF):
```
data_V3GePt
_symmetry_space_group_name_H-M 'P m -3 m'
_symmetry_Int_Tables_number 221
_symmetry_space_group_name_Hall '-P 4 2 3'
_cell_length_a 4.4279
_cell_length_b 4.4279
_cell_length_c 4.4279
_cell_angle_alpha 90.00
_cell_angle_beta 90.00
_cell_angle_gamma 90.00
loop_
_atom_site_label
_atom_site_type_symbol
_atom_site_fract_x
_atom_site_fract_y
_atom_site_fract_z
V1 V 0.0000 0.0000 0.5000
Ge1 Ge 0.0000 0.0000 0.0000
Pt1 Pt 0.5000 0.5000 0.5000
```

Entry 10:
Below is a relaxed Li2ThMgTl4 crystal, with properties calculated at the GGA-PBE level.

Calculated values
* V: 594.01 Å³ per cell
* total DFT energy (no corrections): -2.93 eV/atom
* formation energy from the elements: -107 kJ/mol of formula units
* theoretical density: 9.1 Mg/m³

Structure (CIF):
```
data_Li2ThMgTl4
_symmetry_space_group_name_H-M 'R -3 m'
_symmetry_Int_Tables_number 166
_symmetry_space_group_name_Hall '-R 3 2"'
_cell_length_a 4.9761
_cell_length_b 4.9761
_cell_length_c 27.7003
_cell_angle_alpha 90.00
_cell_angle_beta 90.00
_cell_angle_gamma 120.00
loop_
_atom_site_label
_atom_site_type_symbol
_atom_site_fract_x
_atom_site_fract_y
_atom_site_fract_z
Li1 Li 0.0000 0.0000 0.2446
Th1 Th 0.0000 0.0000 0.0000
Mg1 Mg 0.0000 0.0000 0.5000
Tl1 Tl 0.0000 0.0000 0.1250
Tl2 Tl 0.0000 0.0000 0.3889
```